No. 1
CsYP2O7: relaxed, PBE.

Cell lengths 11.071, 8.052, 8.916 Å; angles 75.24, 90.00, 90.00 degrees
Fractional positions:
O 0.932 0.400 0.730
O 0.605 0.673 0.015
O 0.432 0.600 0.770
O 0.105 0.327 0.485
O 0.774 0.916 0.759
O 0.568 0.400 0.230
O 0.262 0.437 0.271
O 0.895 0.673 0.515
O 0.912 0.847 0.995
O 0.588 0.847 0.495
O 0.995 0.000 0.730
O 0.726 0.916 0.259
O 0.274 0.084 0.741
O 0.088 0.153 0.005
O 0.940 0.687 0.790
O 0.440 0.313 0.710
O 0.068 0.600 0.270
O 0.412 0.153 0.505
O 0.395 0.327 0.985
O 0.762 0.563 0.229
O 0.560 0.687 0.290
O 0.738 0.563 0.729
O 0.005 0.000 0.270
O 0.060 0.313 0.210
O 0.226 0.084 0.241
O 0.505 0.000 0.230
O 0.495 0.000 0.770
O 0.238 0.437 0.771
P 0.872 0.576 0.683
P 0.097 0.129 0.179
P 0.128 0.424 0.317
P 0.403 0.129 0.679
P 0.903 0.871 0.821
P 0.372 0.424 0.817
P 0.628 0.576 0.183
P 0.597 0.871 0.321
Cs 0.687 0.197 0.943
Cs 0.813 0.197 0.443
Cs 0.187 0.803 0.557
Cs 0.313 0.803 0.057
Y 0.400 0.238 0.248
Y 0.900 0.762 0.252
Y 0.600 0.762 0.752
Y 0.100 0.238 0.748

Calculated values
The uncorrected formation energy comes out at -2702 meV per atom. For the magnetic moment, the calculation gives 0.00 μB per cell. The calculated total energy comes out at -82.57 eV/f.u. As for the space-group type: P2_1/c, No. 14.



No. 2
Cs3YP2O8: relaxed, PBE.

Cell lengths 10.510, 10.387, 10.707 Å; angles 72.54, 90.00, 90.00 degrees
Fractional positions:
Cs 0.918 0.526 0.724
Cs 0.215 0.669 0.958
Cs 0.314 0.008 0.703
Cs 0.814 0.992 0.297
Cs 0.331 0.715 0.521
Cs 0.715 0.331 0.042
Cs 0.418 0.474 0.276
Cs 0.461 0.964 0.167
Cs 0.750 0.730 0.063
Cs 0.961 0.036 0.833
Cs 0.831 0.285 0.479
Cs 0.250 0.270 0.937
O 0.995 0.857 0.160
O 0.474 0.732 0.753
O 0.314 0.386 0.623
O 0.814 0.614 0.377
O 0.186 0.362 0.171
O 0.562 0.990 0.501
O 0.658 0.976 0.792
O 0.592 0.705 0.306
O 0.686 0.638 0.829
O 0.092 0.295 0.694
O 0.974 0.268 0.247
O 0.998 0.432 0.013
O 0.874 0.885 0.625
O 0.374 0.115 0.375
O 0.495 0.143 0.840
O 0.014 0.522 0.208
O 0.599 0.198 0.304
O 0.508 0.223 0.517
O 0.686 0.725 0.518
O 0.692 0.059 0.989
O 0.708 0.227 0.756
O 0.186 0.275 0.482
O 0.008 0.777 0.483
O 0.498 0.568 0.987
O 0.158 0.024 0.208
O 0.122 0.504 0.498
O 0.099 0.802 0.696
O 0.622 0.496 0.502
O 0.192 0.941 0.011
O 0.208 0.773 0.244
O 0.514 0.478 0.792
O 0.062 0.010 0.499
P 0.540 0.601 0.844
P 0.177 0.362 0.576
P 0.513 0.134 0.423
P 0.040 0.399 0.156
P 0.677 0.638 0.424
P 0.139 0.902 0.152
P 0.013 0.866 0.577
P 0.639 0.098 0.848
Y 0.022 0.657 0.338
Y 0.166 0.158 0.339
Y 0.666 0.842 0.661
Y 0.522 0.343 0.662

Calculated values
The uncorrected formation energy comes out at -2565 meV per atom. For the magnetic moment, the calculation gives 0.00 μB per cell. The calculated total energy comes out at -95.41 eV/f.u. As for the space-group type: P2_1, No. 4.